{"formula": "SmTaCrO6", "functional": "PBE with a Hubbard U", "state": "optimized geometry", "total_magnetization_mub_per_fu": 2.00, "dft_energy_ha_per_atom": -0.3128, "dos_at_fermi_per_ev_fu": 0.09, "lattice_angstrom": [[4.8624, 0.0000, 0.0000], [0.0000, 4.8624, 0.0000], [0.0000, 0.0000, 9.6280]], "species": ["O", "O", "O", "O", "O", "O", "O", "O", "O", "O", "O", "O", "Ta", "Ta", "Cr", "Cr", "Sm", "Sm"], "frac_coords": [[0.8273, 0.1727, 0.5031], [0.1727, 0.8273, 0.5031], [0.2179, 0.7821, 0.1898], [0.6727, 0.6727, 0.0031], [0.2821, 0.2821, 0.6898], [0.7179, 0.7179, 0.6898], [0.7137, 0.7137, 0.3099], [0.2137, 0.7863, 0.8099], [0.7821, 0.2179, 0.1898], [0.3273, 0.3273, 0.0031], [0.2863, 0.2863, 0.3099], [0.7863, 0.2137, 0.8099], [0.0000, 0.0000, 0.3342], [0.5000, 0.5000, 0.8342], [0.5000, 0.5000, 0.1662], [0.0000, 0.0000, 0.6662], [0.5000, 0.5000, 0.4941], [0.0000, 0.0000, 0.9941]]}